# 1
The following is a meta-GGA SCAN calculation of a PBEsol-optimized structure of ScHgW2, from the Alexandria database.

abc: 2.7748 2.7748 9.1218
angles: 90.00 90.00 90.00
With the nearest neighbours (Å) after each atom.
Space group P4mm (No. 99)
Inequivalent atoms, fractional coordinates:
Sc: 0.0000 0.0000 0.0000 (multiplicity 1)  4 Sc 2.77, 4 W 2.98, 4 Hg 3.09
Hg: 0.5000 0.5000 0.7382 (multiplicity 1)  4 Hg 2.77, 4 W 3.01, 4 Sc 3.09
W: 0.0000 0.0000 0.4886 (multiplicity 1)  8 W 2.77-2.96, 4 Hg 3.01
W: 0.5000 0.5000 0.2454 (multiplicity 1)  8 W 2.77-2.96, 4 Sc 2.98

Calculated values
E_form ... 1.54 eV/f.u.
M_tot ... 0.000 μB per formula unit
ρ ... 14.5 g cm⁻³

=====

# 2
The following is a meta-GGA SCAN calculation of a PBEsol-optimized structure of ScHg2W, from the Alexandria database.

abc: 2.9813 4.2014 5.8772
angles: 90.00 90.00 90.00
With the nearest neighbours (Å) after each atom.
Space group Pmmm (No. 47)
Inequivalent atoms, fractional coordinates:
Sc: 0.0000 0.0000 0.0000 (multiplicity 1)  2 W 2.94, 2 Sc 2.98, 8 Hg 2.99
Hg: 0.5000 0.5000 0.2570 (multiplicity 2)  4 Hg 2.86-3.02, 4 W 2.95, 4 Sc 2.99
W: 0.0000 0.0000 0.5000 (multiplicity 1)  2 Sc 2.94, 8 Hg 2.95, 2 W 2.98

Calculated values
E_form ... 0.87 eV/f.u.
M_tot ... 0.000 μB per formula unit
Excess energy over the best structure of this formula in the dataset ... 0 kJ/mol of formula units
ρ ... 14.2 g cm⁻³

=====

# 3
The following is a meta-GGA SCAN calculation of a PBEsol-optimized structure of ScHg2W, from the Alexandria database.

abc: 6.6919 6.6919 6.6919
angles: 90.00 90.00 90.00
With the nearest neighbours (Å) after each atom.
Space group Fm-3m (No. 225)
Inequivalent atoms, fractional coordinates:
Sc: 0.0000 0.0000 0.0000 (multiplicity 4)  8 Hg 2.90
Hg: 0.2500 0.2500 0.2500 (multiplicity 8)  4 W 2.90, 4 Sc 2.90
W: 0.0000 0.0000 0.5000 (multiplicity 4)  8 Hg 2.90

Calculated values
E_form ... 1.55 eV/f.u.
M_tot ... 1.126 μB per formula unit
Excess energy over the best structure of this formula in the dataset ... 66 kJ/mol of formula units
ρ ... 14.0 g cm⁻³

=====

# 4
The following is a meta-GGA SCAN calculation of a PBEsol-optimized structure of ScHg2W, from the Alexandria database.

abc: 9.8655 2.9531 5.2682
angles: 90.00 99.62 90.00
With the nearest neighbours (Å) after each atom.
Space group C2/m (No. 12)
Inequivalent atoms, fractional coordinates:
Sc: 0.0000 0.0000 0.0000 (multiplicity 2)  2 Sc 2.95, 6 Hg 2.99-3.02, 4 W 3.02
Hg: 0.2473 0.0000 0.7418 (multiplicity 4)  3 W 2.95-2.98, 6 Hg 2.95-3.09, 3 Sc 2.99-3.02
W: 0.0000 0.5000 0.5000 (multiplicity 2)  6 Hg 2.95-2.98, 2 W 2.95, 4 Sc 3.02

Calculated values
E_form ... 1.31 eV/f.u.
M_tot ... 0.000 μB per formula unit
Excess energy over the best structure of this formula in the dataset ... 43 kJ/mol of formula units
ρ ... 13.8 g cm⁻³

=====

# 5
The following is a meta-GGA SCAN calculation of a PBEsol-optimized structure of YSc2Hg2, from the Alexandria database.

abc: 8.0554 8.0554 3.5540
angles: 90.00 90.00 90.00
With the nearest neighbours (Å) after each atom.
Space group P4/mbm (No. 127)
Inequivalent atoms, fractional coordinates:
Y: 0.0000 0.0000 0.0000 (multiplicity 2)  4 Hg 3.15, 8 Sc 3.49
Sc: 0.1666 0.3334 0.5000 (multiplicity 4)  6 Hg 2.90-3.00
Hg: 0.1317 0.6317 0.0000 (multiplicity 4)  6 Sc 2.90-3.00, 1 Hg 3.00, 2 Y 3.15

Calculated values
E_form ... -2.94 eV/f.u.
M_tot ... 0.000 μB per formula unit
ρ ... 8.4 g cm⁻³

=====

# 6
The following is a meta-GGA SCAN calculation of a PBEsol-optimized structure of YScHg, from the Alexandria database.

abc: 6.4539 5.0211 8.9146
angles: 90.00 90.00 90.00
With the nearest neighbours (Å) after each atom.
Space group Pnma (No. 62)
Inequivalent atoms, fractional coordinates:
Y: 0.1882 0.2500 0.0782 (multiplicity 4)  4 Hg 2.93-3.02
Sc: 0.0131 0.2500 0.7061 (multiplicity 4)  3 Hg 2.99-3.10, 1 Y 3.29, 2 Sc 3.32
Hg: 0.2214 0.2500 0.4062 (multiplicity 4)  4 Y 2.93-3.02, 3 Sc 2.99-3.10

Calculated values
E_form ... -1.78 eV/f.u.
M_tot ... 0.000 μB per formula unit
Excess energy over the best structure of this formula in the dataset ... 0 kJ/mol of formula units
ρ ... 7.7 g cm⁻³

=====

# 7
The following is a meta-GGA SCAN calculation of a PBEsol-optimized structure of YScHg, from the Alexandria database.

abc: 3.4404 3.4404 12.2851
angles: 90.00 90.00 90.00
With the nearest neighbours (Å) after each atom.
Space group I4mm (No. 107)
Inequivalent atoms, fractional coordinates:
Y: 0.0000 0.0000 0.0000 (multiplicity 2)  4 Hg 3.21, 4 Sc 3.37, 4 Y 3.44
Sc: 0.0000 0.0000 0.3096 (multiplicity 2)  4 Hg 2.97
Hg: 0.0000 0.0000 0.6704 (multiplicity 2)  4 Sc 2.97, 4 Y 3.21

Calculated values
E_form ... -1.39 eV/f.u.
M_tot ... 1.351 μB per formula unit
Excess energy over the best structure of this formula in the dataset ... 37 kJ/mol of formula units
ρ ... 7.6 g cm⁻³

=====

# 8
The following is a meta-GGA SCAN calculation of a PBEsol-optimized structure of ScZnHg2, from the Alexandria database.

abc: 3.4918 3.4918 6.4419
angles: 90.00 90.00 90.00
With the nearest neighbours (Å) after each atom.
Space group P4mm (No. 99)
Inequivalent atoms, fractional coordinates:
Sc: 0.0000 0.0000 0.0000 (multiplicity 1)  4 Zn 2.93, 5 Hg 2.94-3.00
Zn: 0.5000 0.5000 0.2440 (multiplicity 1)  5 Hg 2.85-3.16, 4 Sc 2.93
Hg: 0.0000 0.0000 0.4664 (multiplicity 1)  4 Zn 2.85, 1 Sc 3.00, 4 Hg 3.08
Hg: 0.5000 0.5000 0.7535 (multiplicity 1)  4 Sc 2.94, 4 Hg 3.08, 2 Zn 3.16-3.28

Calculated values
E_form ... -0.90 eV/f.u.
M_tot ... 0.368 μB per formula unit
ρ ... 10.8 g cm⁻³